Entry 1:
Material: SiSb2Os
Method: DFT, PBE
State: relaxed

Structure (POSCAR):
```
SiSb2Os
1.0
6.5612 0.0006 0.0037
4.2694 4.9821 -0.0037
-5.0209 -3.3485 2.5743
Sb Si Os
2 1 1
Cartesian
0.5686 0.2616 0.0000
3.3670 -0.4792 1.2890
4.6832 2.1546 0.0000
2.6060 2.1886 1.2853
```

ΔE_f (raw): 0.435 eV/atom


Entry 2:
Material: Tb5Y3Ru2
Method: DFT, PBE
State: relaxed

Structure (POSCAR):
```
Tb5Y3Ru2
1.0
8.0006 0.0000 0.0000
4.0003 8.9820 0.4906
4.0003 2.8566 8.5297
Tb Y Ru
10 6 4
Cartesian
4.0003 5.9065 1.5295
10.0008 2.9951 2.2821
6.0005 2.9951 2.2821
6.0005 8.8434 6.7382
8.0006 8.7964 3.7315
6.0005 5.9193 4.5102
12.0009 5.9320 7.4908
10.0008 5.9193 4.5102
10.0008 8.8434 6.7382
8.0006 3.0421 5.2889
2.0002 0.0000 0.0000
12.0009 8.8681 3.7497
8.0006 5.8699 1.4652
6.0005 0.0000 0.0000
8.0006 5.9686 7.5551
4.0003 2.9704 5.2706
12.0009 10.3023 7.8015
8.0006 1.5828 1.1577
4.0003 1.5363 1.2189
8.0006 10.2557 7.8626
```

DFT formation energy: -2.3 kcal/mol of atoms


Entry 3:
Material: MnAlN3
Method: DFT, PBE
State: relaxed

Structure (POSCAR):
```
MnAlN3
1.0
-2.3360 -2.7115 -0.7461
2.0186 -0.9413 -2.8992
1.9581 -2.2644 2.0986
N Al Mn
3 1 1
Cartesian
1.0093 -0.4707 -1.4496
-1.1680 -1.3558 -0.3730
0.9791 -1.1322 1.0493
0.0000 0.0000 0.0000
0.8204 -2.9586 -0.7733
```

ΔE_f (raw): 1.267 eV/atom


Entry 4:
Material: Cr3Ni12W
Method: DFT, PBE
State: relaxed

Structure (POSCAR):
```
Cr3Ni12W
1.0
-0.2252 -1.8596 3.0539
3.5402 0.3126 0.4514
-2.0037 12.1888 7.2743
Ni Cr W
12 3 1
Cartesian
1.6575 -0.7735 1.7526
0.5215 7.7518 4.7587
0.6557 5.3209 5.3898
0.0180 10.8152 6.5869
1.5186 1.6863 1.1388
0.1564 8.3581 7.2023
-1.3612 6.6657 6.0599
-1.8647 9.7291 7.8882
-0.3641 0.6002 2.4400
1.1550 2.2838 3.5772
-0.8677 3.6635 4.2682
1.0150 4.7496 2.9670
-1.0018 6.0944 3.6372
-0.5143 3.1289 1.8674
-1.4893 9.0599 5.4070
0.0000 0.0000 0.0000
```

DFT formation energy: -0.2 kcal/mol of atoms


Entry 5:
Material: TmSbIrRh
Method: DFT, PBE
State: relaxed

Structure (POSCAR):
```
TmSbIrRh
1.0
-1.4487 -2.2066 3.8801
2.6504 -3.3678 1.9122
2.1781 0.7644 4.0859
Tm Sb Rh Ir
1 1 1 1
Cartesian
1.6899 -2.4050 4.9391
0.0000 0.0000 0.0000
0.8450 -1.2025 2.4695
2.5349 -3.6075 7.4086
```

ΔE_f (raw): -0.591 eV/atom


Entry 6:
Material: Tb3InRh8
Method: DFT, PBE
State: relaxed

Structure (POSCAR):
```
Tb3InRh8
1.0
-4.3745 0.7291 2.9197
-1.7204 -3.8602 3.2143
2.8358 2.1875 8.5305
Tb Rh In
3 8 1
Cartesian
-6.0366 -3.0924 6.2117
0.1871 0.7342 9.7530
-1.6807 -0.5057 7.2642
-1.5354 -0.1043 12.2096
-3.7671 -1.4337 11.6061
-2.9925 -2.8902 5.8941
-1.5850 -1.7974 10.1497
0.0919 0.3660 4.8743
-2.9089 0.4919 10.0028
-4.3213 -0.5925 5.7466
-2.1311 -0.9575 4.2848
-4.2505 -1.9067 8.5917
```

DFT formation energy: -14.1 kcal/mol of atoms


Entry 7:
Material: Dy3CoIr2
Method: DFT, PBE
State: relaxed

Structure (POSCAR):
```
Dy3CoIr2
1.0
4.0906 0.0000 0.0000
0.0000 11.2594 0.0000
0.0000 0.0000 11.1411
Co Ir Dy
4 8 12
Cartesian
1.0227 4.0917 6.9958
1.0227 1.5380 1.4253
3.0680 7.1676 4.1452
3.0680 9.7214 9.7157
3.0680 2.1181 0.2756
3.0680 5.7045 2.1453
1.0227 0.0748 3.4252
3.0680 3.5116 5.8462
1.0227 7.7478 5.2949
1.0227 9.1413 10.8654
3.0680 11.1845 7.7159
1.0227 5.5549 8.9957
3.0680 2.2269 3.2719
3.0680 9.9103 4.9914
3.0680 6.9788 10.5619
3.0680 3.4027 8.8425
3.0680 6.2891 6.9060
1.0227 4.2806 0.5792
1.0227 1.3491 6.1497
1.0227 7.8566 2.2986
1.0227 9.0324 7.8691
3.0680 10.6000 1.3354
1.0227 0.6594 9.8056
1.0227 4.9703 4.2351
```

DFT formation energy: -14.5 kcal/mol of atoms


Entry 8:
Material: Pm2Nd6Hg
Method: DFT, PBE
State: relaxed

Structure (POSCAR):
```
Pm2Nd6Hg
1.0
-2.1489 1.5848 2.6544
-4.1338 -8.5732 1.7721
7.9474 2.6386 4.8585
Nd Pm Hg
6 2 1
Cartesian
2.7867 -4.3358 4.8446
-0.2793 -6.1439 6.1123
0.3743 -1.4613 3.8456
-3.6378 -4.5238 2.4261
-1.1143 -2.3110 0.4777
-1.9931 -7.8621 3.0806
-0.1066 -4.8358 2.8009
3.9203 -1.0986 3.8296
-1.0749 0.7915 1.3274
```

excess energy over the best structure of this formula in the dataset: 0 meV/atom
DFT formation energy: -2.2 kcal/mol of atoms


Entry 9:
Material: ScCd4Mo
Method: DFT, PBE
State: relaxed

Structure (POSCAR):
```
ScCd4Mo
1.0
0.0000 3.9675 3.9675
3.9675 0.0000 3.9675
3.9675 3.9675 0.0000
Cd Mo Sc
4 1 1
Cartesian
2.9780 4.9571 4.9571
4.9571 4.9571 2.9780
2.9780 2.9780 2.9780
4.9571 2.9780 4.9571
5.9513 5.9513 5.9513
0.0000 0.0000 0.0000
```

DFT formation energy: 6.0 kcal/mol of atoms


Entry 10:
Material: Na2ZnGa4Pt3
Method: DFT, PBE
State: relaxed

Structure (POSCAR):
```
Na2ZnGa4Pt3
1.0
-3.5431 -0.0422 2.1290
-1.6454 -2.5692 -2.7892
3.6339 -8.7053 5.8749
Ga Pt Na Zn
4 3 2 1
Cartesian
0.0000 0.0000 0.0000
-2.5943 -1.3057 -0.3301
0.4823 -4.4108 0.7151
0.5574 -5.6002 4.8296
1.8169 -4.3526 2.9374
-0.3320 -2.4602 -0.6013
1.3716 -7.5508 6.1460
-0.8755 -2.1676 2.5131
1.9151 -7.8433 3.0316
-0.7773 -5.6583 2.6073
```

DFT formation energy: -10.7 kcal/mol of atoms


Entry 11:
Material: CaZnBRh2
Method: DFT, PBE
State: relaxed

Structure (POSCAR):
```
CaZnBRh2
1.0
4.2439 0.0000 0.0000
0.0000 4.2439 0.0000
0.0000 0.0000 4.1880
Zn Rh B Ca
1 2 1 1
Cartesian
0.0000 0.0000 2.0940
0.0000 2.1220 0.0000
2.1220 0.0000 0.0000
0.0000 0.0000 0.0000
2.1220 2.1220 2.0940
```

DFT formation energy: -8.7 kcal/mol of atoms


Entry 12:
Material: SiOs4
Method: DFT, PBE
State: relaxed

Structure (POSCAR):
```
SiOs4
1.0
3.4451 3.0535 1.1322
-4.1848 2.2243 0.1183
-0.0242 -3.5789 3.1089
Si Os
1 4
Cartesian
0.0000 0.0000 0.0000
-2.0924 1.1121 0.0591
-0.3820 0.8494 2.1797
-0.0121 -1.7894 1.5544
1.7225 1.5267 0.5661
```

ΔE_f (raw): 1.143 eV/atom
excess energy over the best structure of this formula in the dataset: 412 meV/atom


Entry 13:
Material: KOsPt2
Method: DFT, PBE
State: relaxed

Structure (POSCAR):
```
KOsPt2
1.0
3.7013 0.0000 0.0000
0.0000 2.7745 0.0090
0.0000 2.7396 7.8383
Os K Pt
1 1 2
Cartesian
1.8506 4.1356 5.8854
1.8506 1.3785 1.9618
0.0000 2.7526 4.5001
0.0000 2.7441 7.2618
```

excess energy over the best structure of this formula in the dataset: 35 meV/atom
DFT formation energy: 6.9 kcal/mol of atoms


Entry 14:
Material: Ba2CdPd4Pb3
Method: DFT, PBE
State: relaxed

Structure (POSCAR):
```
Ba2CdPd4Pb3
1.0
4.9555 0.0000 0.0000
0.0000 4.9555 0.0000
0.0000 0.0000 10.7608
Pd Pb Ba Cd
4 3 2 1
Cartesian
2.4778 2.4778 0.0000
0.0000 0.0000 0.0000
0.0000 2.4778 4.0345
2.4778 0.0000 6.7264
0.0000 0.0000 5.3804
2.4778 0.0000 9.4973
0.0000 2.4778 1.2635
2.4778 0.0000 2.6410
0.0000 2.4778 8.1199
2.4778 2.4778 5.3804
```

DFT formation energy: -11.6 kcal/mol of atoms


Entry 15:
Material: BaTl2Cd2Hg2
Method: DFT, PBE
State: relaxed

Structure (POSCAR):
```
BaTl2Cd2Hg2
1.0
-2.8186 0.1944 -4.2198
-5.0199 -0.7208 0.2641
-3.9021 9.2783 -0.0219
Cd Hg Ba Tl
2 2 1 2
Cartesian
-2.9405 2.2275 -0.9890
-8.8001 6.5244 -2.9887
-6.2539 7.1889 -1.6030
-5.4867 1.5630 -2.3746
0.0000 0.0000 0.0000
-8.3745 3.4040 -3.4166
-3.3661 5.3479 -0.5610
```

DFT formation energy: -4.7 kcal/mol of atoms


Entry 16:
Material: Ca2CrW
Method: DFT, PBE
State: relaxed

Structure (POSCAR):
```
Ca2CrW
1.0
5.9880 -0.0405 -0.0161
2.6030 5.3928 0.0161
-3.5392 -3.8901 2.8634
Ca W Cr
2 1 1
Cartesian
0.1632 0.1017 0.0000
3.1385 -0.7728 1.4237
2.1289 2.3693 1.4398
3.9166 2.4401 0.0000
```

excess energy over the best structure of this formula in the dataset: 204 meV/atom
DFT formation energy: 16.0 kcal/mol of atoms


Entry 17:
Material: ErZnNi
Method: DFT, PBE
State: relaxed

Structure (POSCAR):
```
ErZnNi
1.0
-0.2843 3.5765 1.1103
-3.1527 -2.0720 5.8672
10.8516 -0.8541 5.5294
Er Ni Zn
6 6 6
Cartesian
5.1247 -0.9827 4.4774
2.2693 -0.5051 2.2079
-1.8794 -1.5929 4.6499
2.5742 -1.9435 6.9192
9.5783 -1.3332 6.7467
5.4296 -2.4210 9.1887
0.6928 1.6006 1.3732
4.1175 1.3311 3.1182
0.9682 -1.3602 4.6293
3.2972 -0.6808 9.3887
6.7308 -1.5659 6.7673
6.7218 -0.9503 11.1337
7.3456 0.7198 5.9137
0.0691 -0.0695 6.5932
-0.0719 0.7992 3.7588
7.4865 -0.1489 8.7481
4.8739 0.0567 7.4168
2.5407 0.5936 5.0900
```

DFT formation energy: -10.6 kcal/mol of atoms


Entry 18:
Material: Rb2TaBeHg
Method: DFT, PBE
State: relaxed

Structure (POSCAR):
```
Rb2TaBeHg
1.0
6.6637 0.0000 0.0000
0.0000 4.7361 0.0000
0.0000 0.0000 6.6637
Rb Be Ta Hg
2 1 1 1
Cartesian
3.3319 0.0000 0.0000
0.0000 0.0000 3.3319
0.0000 0.0000 0.0000
0.0000 2.3680 0.0000
3.3319 2.3680 3.3319
```

DFT formation energy: 28.3 kcal/mol of atoms


Entry 19:
Material: Tb5Bi5H2
Method: DFT, PBE
State: relaxed

Structure (POSCAR):
```
Tb5Bi5H2
1.0
-1.0150 -4.1578 -0.3305
5.8032 0.9992 -2.5156
3.9356 -1.8302 10.9394
Bi H Tb
5 2 5
Cartesian
4.4905 -1.5447 5.6427
7.0739 -2.3511 7.8541
1.4603 -2.9940 5.3045
1.6500 -2.6377 0.2392
4.2333 -3.4441 2.4506
4.8999 -3.3622 -0.6269
3.8240 -1.6266 8.7202
4.1443 -3.8614 7.9742
6.5074 -4.2017 4.9968
0.0000 0.0000 0.0000
4.5795 -1.1274 0.1191
2.2164 -0.7872 3.0965
```


Entry 20:
Material: ReNi2Br
Method: DFT, PBE
State: relaxed

Structure (POSCAR):
```
ReNi2Br
1.0
-1.7156 -3.7906 -0.9383
2.6144 -1.8718 2.8025
-2.5028 3.2218 1.2444
Br Ni Re
1 2 1
Cartesian
-1.8845 -1.7000 0.6191
0.2805 -0.7406 2.4895
0.0000 0.0000 0.0000
0.4494 -2.8312 0.9321
```

ΔE_f (raw): 0.925 eV/atom
excess energy over the best structure of this formula in the dataset: 525 meV/atom


Looking at E_tot for the records above, in order, we have -5.789 -6.209 -6.311 -6.959 -6.793 -6.899 -7.068 -4.363 -3.209 -3.879 -5.309 -8.926 -5.803 -4.167 -1.503 -5.949 -4.332 -2.336 -4.722 -5.496 eV/atom.